## SmPuCd2O6 (PBE-GGA)

Data for a relaxed SmPuCd2O6 crystal.

Lattice parameters (Å, degrees): 5.802 5.802 6.149 61.85 61.85 60.00
Sites, in units of the cell vectors:
Cd1 0.536 0.536 0.392
Cd2 0.028 0.028 0.916
O1 0.689 0.112 0.776
O2 0.584 0.208 0.259
O3 0.112 0.423 0.776
O4 0.949 0.584 0.259
O5 0.423 0.689 0.776
O6 0.208 0.949 0.259
Sm1 0.813 0.813 0.562
Pu1 0.320 0.320 0.041

Results
E_form (uncorrected), eV per formula unit: -22.20
Crystal system: trigonal



## Nd4SmY8 (PBE-GGA)

Data for a relaxed Nd4SmY8 crystal.

Lattice parameters (Å, degrees): 11.128 11.128 7.865 90.00 135.03 120.00
Sites, in units of the cell vectors:
Y1 0.000 0.240 0.760
Y2 0.480 0.240 0.240
Y3 0.000 0.760 0.240
Y4 0.000 0.760 0.760
Y5 0.000 0.240 0.240
Y6 0.480 0.240 0.720
Y7 0.520 0.760 0.280
Y8 0.520 0.760 0.760
Nd1 0.000 0.000 0.000
Nd2 0.000 0.500 0.000
Nd3 0.500 0.500 0.000
Nd4 0.500 0.000 0.000
Sm1 0.000 0.500 0.500

Results
Energy relative to the elements, meV/atom: 512
Crystal system: trigonal



## BaAl2Hg2 (PBE-GGA)

Data for a relaxed BaAl2Hg2 crystal.

Lattice parameters (Å, degrees): 4.614 4.614 6.885 70.43 70.43 90.00
Sites, in units of the cell vectors:
Hg1 0.376 0.376 0.248
Hg2 0.624 0.624 0.752
Ba1 0.000 0.000 0.000
Al1 0.250 0.750 0.500
Al2 0.750 0.250 0.500

Results
Energy relative to the elements, meV/atom: -294
Crystal system: tetragonal



no.,DOS at the Fermi energy (states/eV per cell)
1,9.599
2,20.980
3,2.178